{
  "formula": "SrTl2P",
  "functional": "PBE-GGA",
  "state": "optimized geometry",
  "crystal_system": "orthorhombic",
  "formation_energy_ev_per_atom": -0.40,
  "volume_a3_per_cell": 234.8,
  "relative_energy_ev_per_atom": 0.0000,
  "lattice_angstrom": [[4.082, 0.000, 0.000], [0.000, 4.712, 0.000], [0.000, 0.000, 12.206]],
  "species": ["Sr", "Sr", "Tl", "Tl", "Tl", "Tl", "P", "P"],
  "frac_coords": [[0.000, 0.000, 0.000], [0.000, 0.500, 0.500], [0.000, 0.000, 0.713], [0.000, 0.500, 0.213], [0.500, 0.000, 0.303], [0.500, 0.500, 0.803], [0.500, 0.000, 0.540], [0.500, 0.500, 0.040]]
}


{
  "formula": "SrTlP",
  "functional": "PBE-GGA",
  "state": "optimized geometry",
  "crystal_system": "cubic",
  "formation_energy_ev_per_atom": -0.20,
  "volume_a3_per_cell": 382.4,
  "relative_energy_ev_per_atom": 0.3930,
  "lattice_angstrom": [[7.258, 0.000, 0.000], [0.000, 7.258, 0.000], [0.000, 0.000, 7.258]],
  "species": ["Sr", "Sr", "Sr", "Sr", "Tl", "Tl", "Tl", "Tl", "P", "P", "P", "P"],
  "frac_coords": [[0.000, 0.000, 0.000], [0.000, 0.500, 0.500], [0.500, 0.000, 0.500], [0.500, 0.500, 0.000], [0.250, 0.250, 0.750], [0.250, 0.750, 0.250], [0.750, 0.250, 0.250], [0.750, 0.750, 0.750], [0.250, 0.250, 0.250], [0.250, 0.750, 0.750], [0.750, 0.250, 0.750], [0.750, 0.750, 0.250]]
}


{
  "formula": "SrTlP2",
  "functional": "PBE-GGA",
  "state": "optimized geometry",
  "crystal_system": "monoclinic",
  "formation_energy_ev_per_atom": -0.36,
  "volume_a3_per_cell": 105.0,
  "relative_energy_ev_per_atom": 0.0297,
  "lattice_angstrom": [[4.848, 0.000, 0.000], [0.000, 4.166, 0.000], [-2.413, 0.000, 5.199]],
  "species": ["Sr", "Tl", "P", "P"],
  "frac_coords": [[0.000, 0.000, 0.000], [0.279, 0.500, 0.561], [0.577, 0.500, 0.154], [0.686, 0.000, 0.373]]
}


{
  "formula": "SrTl2P2",
  "functional": "PBE-GGA",
  "state": "optimized geometry",
  "crystal_system": "tetragonal",
  "formation_energy_ev_per_atom": -0.27,
  "volume_a3_per_cell": 279.0,
  "relative_energy_ev_per_atom": 0.0456,
  "lattice_angstrom": [[7.584, 0.000, 0.000], [0.000, 7.584, 0.000], [0.000, 0.000, 4.850]],
  "species": ["Sr", "Sr", "Tl", "Tl", "Tl", "Tl", "P", "P", "P", "P"],
  "frac_coords": [[0.000, 0.000, 0.000], [0.500, 0.500, 0.000], [0.166, 0.334, 0.500], [0.334, 0.834, 0.500], [0.666, 0.166, 0.500], [0.834, 0.666, 0.500], [0.101, 0.601, 0.000], [0.399, 0.101, 0.000], [0.601, 0.899, 0.000], [0.899, 0.399, 0.000]]
}


{
  "formula": "SrTlP2",
  "functional": "PBE-GGA",
  "state": "optimized geometry",
  "crystal_system": "cubic",
  "formation_energy_ev_per_atom": 0.01,
  "volume_a3_per_cell": 391.1,
  "relative_energy_ev_per_atom": 0.3948,
  "lattice_angstrom": [[7.313, 0.000, 0.000], [0.000, 7.313, 0.000], [0.000, 0.000, 7.313]],
  "species": ["Sr", "Sr", "Sr", "Sr", "Tl", "Tl", "Tl", "Tl", "P", "P", "P", "P", "P", "P", "P", "P"],
  "frac_coords": [[0.000, 0.000, 0.000], [0.000, 0.500, 0.500], [0.500, 0.000, 0.500], [0.500, 0.500, 0.000], [0.000, 0.000, 0.500], [0.000, 0.500, 0.000], [0.500, 0.000, 0.000], [0.500, 0.500, 0.500], [0.250, 0.250, 0.250], [0.250, 0.250, 0.750], [0.250, 0.750, 0.250], [0.250, 0.750, 0.750], [0.750, 0.250, 0.250], [0.750, 0.250, 0.750], [0.750, 0.750, 0.250], [0.750, 0.750, 0.750]]
}


{
  "formula": "SrTlP2",
  "functional": "PBE-GGA",
  "state": "optimized geometry",
  "crystal_system": "tetragonal",
  "formation_energy_ev_per_atom": -0.05,
  "volume_a3_per_cell": 192.2,
  "relative_energy_ev_per_atom": 0.3376,
  "lattice_angstrom": [[4.236, 0.000, 0.000], [0.000, 4.236, 0.000], [0.000, 0.000, 10.716]],
  "species": ["Sr", "Sr", "Tl", "Tl", "P", "P", "P", "P"],
  "frac_coords": [[0.000, 0.000, 0.000], [0.500, 0.500, 0.500], [0.000, 0.500, 0.750], [0.500, 0.000, 0.250], [0.000, 0.000, 0.500], [0.000, 0.500, 0.250], [0.500, 0.000, 0.750], [0.500, 0.500, 0.000]]
}


{
  "formula": "SrTl4P",
  "functional": "PBE-GGA",
  "state": "optimized geometry",
  "crystal_system": "cubic",
  "formation_energy_ev_per_atom": 0.13,
  "volume_a3_per_cell": 184.0,
  "lattice_angstrom": [[0.000, 4.514, 4.514], [4.514, 0.000, 4.514], [4.514, 4.514, 0.000]],
  "species": ["Sr", "Tl", "Tl", "Tl", "Tl", "P"],
  "frac_coords": [[0.000, 0.000, 0.000], [0.127, 0.624, 0.624], [0.624, 0.127, 0.624], [0.624, 0.624, 0.127], [0.624, 0.624, 0.624], [0.250, 0.250, 0.250]]
}


{
  "formula": "SrTlP",
  "functional": "PBE-GGA",
  "state": "optimized geometry",
  "crystal_system": "orthorhombic",
  "formation_energy_ev_per_atom": -0.39,
  "volume_a3_per_cell": 418.2,
  "relative_energy_ev_per_atom": 0.2046,
  "lattice_angstrom": [[0.000, 6.099, 7.356], [4.661, 0.000, 7.356], [4.661, 6.099, 0.000]],
  "species": ["Sr", "Sr", "Sr", "Sr", "Tl", "Tl", "Tl", "Tl", "P", "P", "P", "P"],
  "frac_coords": [[0.011, 0.011, 0.739], [0.261, 0.261, 0.989], [0.739, 0.739, 0.011], [0.989, 0.989, 0.261], [0.000, 0.500, 0.500], [0.500, 0.000, 0.500], [0.500, 0.500, 0.000], [0.500, 0.500, 0.500], [0.063, 0.687, 0.063], [0.313, 0.937, 0.313], [0.687, 0.063, 0.687], [0.937, 0.313, 0.937]]
}